[1]
DFT (PBE-GGA) results for an optimized crystal structure of ZrTaCr2.

Results
- Energy above the lowest structure with this stoichiometry: 0.179 eV per atom
- Symmetry: F-43m
- E: -9.5922 eV per atom

Unit cell a=4.465 b=4.465 c=4.465 alpha=60.00 beta=60.00 gamma=60.00
Atoms (fractional coordinates):
Cr  0.250  0.250  0.250
Cr  0.000  0.000  0.000
Ta  0.500  0.500  0.500
Zr  0.750  0.750  0.750

[2]
DFT (PBE-GGA) results for an optimized crystal structure of SmGd2Ho.

Results
- Energy above the lowest structure with this stoichiometry: 0.002 eV per atom
- Symmetry: P4/mmm
- E: -9.3394 eV per atom

Unit cell a=3.577 b=3.577 c=10.119 alpha=90.00 beta=90.00 gamma=90.00
Atoms (fractional coordinates):
Gd  0.000  0.000  0.247
Gd  0.000  0.000  0.753
Sm  0.500  0.500  0.500
Ho  0.500  0.500  0.000

[3]
DFT (PBE-GGA) results for an optimized crystal structure of PmNd2Sm3As6.

Results
- Symmetry: C2/m
- E: -6.2171 eV per atom

Unit cell a=4.240 b=8.474 c=9.474 alpha=102.92 beta=102.93 gamma=90.00
Atoms (fractional coordinates):
Sm  0.833  0.167  0.667
Sm  0.500  0.500  0.000
Sm  0.167  0.833  0.333
As  0.999  0.250  0.998
As  0.666  0.585  0.332
As  0.001  0.750  0.002
As  0.333  0.919  0.666
As  0.334  0.415  0.668
As  0.667  0.081  0.334
Pm  0.500  0.000  0.000
Nd  0.834  0.667  0.667
Nd  0.166  0.333  0.333